[1]
# MnVPd

A relaxed structure of MnVPd (PBE, the Alexandria database).

Structure (extended XYZ):
```
3
Lattice="4.233 0.000 0.000 -2.117 3.666 0.000 0.000 0.000 2.653" Properties=species:S:1:pos:R:3 pbc="T T T"
Mn 0.000 0.000 0.000
V 2.117 1.222 2.648
Pd 0.000 2.444 1.324
```

Properties
ρ, g/cm³: 8.6
Energy of formation, kJ per mole of atoms: 4.2
Total moment, Bohr magnetons per cell: 1.235
Polymorph energy (0 for the lowest one), meV/atom: 104

---

[2]
# Mn2Co4Sn2C

A relaxed structure of Mn2Co4Sn2C (PBE, the Alexandria database).

Structure (extended XYZ):
```
9
Lattice="-2.808 2.808 3.588 2.808 -2.808 3.588 2.808 2.808 -3.588" Properties=species:S:1:pos:R:3 pbc="T T T"
Mn 0.000 0.000 1.588
Mn 0.000 0.000 5.588
Co 1.444 1.444 0.000
Co 1.364 -1.364 3.588
Co -1.364 1.364 3.588
Co 1.364 1.364 3.588
Sn 2.808 0.000 1.794
Sn 0.000 2.808 1.794
C 0.000 0.000 3.588
```

Properties
ρ, g/cm³: 8.7
Energy of formation, kJ per mole of atoms: -2.4
Total moment, Bohr magnetons per cell: 8.539

---

[3]
# CsTi2ZnSb

A relaxed structure of CsTi2ZnSb (PBE, the Alexandria database).

Structure (extended XYZ):
```
5
Lattice="5.057 0.000 0.000 0.000 5.057 0.000 0.000 0.000 5.990" Properties=species:S:1:pos:R:3 pbc="T T T"
Cs 0.000 0.000 0.000
Ti 0.000 2.529 0.000
Ti 2.529 0.000 0.000
Zn 2.529 2.529 2.995
Sb 0.000 0.000 2.995
```

Properties
ρ, g/cm³: 4.5
Energy relative to the elements, uncorrected, eV/atom: 2.092
Total moment, Bohr magnetons per cell: 1.697